Version w
NbCdP2O: optimized geometry, GGA-PBE.

```
NbCdP2O
1.0
4.864 0.000 0.000
0.000 4.864 0.000
0.000 0.000 3.940
Nb Cd P O
1 1 2 1
Cartesian
0.000 0.000 0.000
2.432 2.432 1.970
0.000 2.432 1.970
2.432 0.000 1.970
2.432 2.432 0.000
```



Version x
NbCdP2O: optimized geometry, GGA-PBE.

```
NbCdP2O
1.0
4.997 0.000 0.000
0.000 4.997 0.000
0.000 0.000 3.895
Nb Cd P O
1 1 2 1
Cartesian
0.000 0.000 0.000
2.498 2.498 1.947
0.000 2.498 0.000
2.498 0.000 0.000
0.000 0.000 1.947
```



Order of stability, best first: version x, version w



Version w
NbCd3Os: optimized geometry, GGA-PBE.

```
NbCd3Os
1.0
5.050 0.000 0.000
0.000 5.050 0.000
0.000 0.000 5.050
Nb Cd Os
1 3 1
Cartesian
0.000 0.000 0.000
0.000 2.525 2.525
2.525 0.000 2.525
2.525 2.525 0.000
2.525 2.525 2.525
```



Version x
NbCd3Os: optimized geometry, GGA-PBE.

```
NbCd3Os
1.0
5.293 0.000 0.000
0.000 5.293 0.000
0.000 0.000 5.293
Nb Cd Os
1 3 1
Cartesian
0.000 0.000 0.000
0.000 0.000 2.646
0.000 2.646 0.000
2.646 0.000 0.000
2.646 2.646 2.646
```



Order of stability, best first: version w, version x